Here is an optimized crystal structure of V2ZnBiO8 from Alexandria via LeMat-Bulk. Energies are from PBE with a Hubbard U.

POSCAR file:
```
V2ZnBiO8
1.0
-3.879 0.482 4.267
-1.080 -3.455 -4.515
2.647 -4.659 2.932
V Zn Bi O
2 1 1 8
direct
0.667 0.333 0.196
0.333 0.667 0.804
0.000 0.000 0.500
0.000 0.000 0.000
0.333 0.667 0.072
0.320 0.160 0.272
0.840 0.160 0.272
0.667 0.333 0.928
0.160 0.840 0.728
0.680 0.840 0.728
0.160 0.320 0.728
0.840 0.680 0.272
```

Values from the calculation:
**Total DFT energy (no corrections)**: -6.46 eV per atom
**M_tot**: 0.0 μB/cell
**Space group**: P-3m1